TlTe2Ru | Alexandria | PBE | relaxed; crystal system = orthorhombic; symmetry = No. 71; DOS(E_F) = 2.86 states/eV per cell; total magnetic moment = 0.0 Bohr magnetons per cell; ΔE_f (raw) = 0.140 eV per atom
1.0
6.655 0.002 0.010
3.565 5.619 -0.010
-4.356 -4.181 2.798
Te Tl Ru
2 1 1
Cartesian
4.415 2.429 0.000
0.695 0.382 0.000
3.704 -0.684 1.404
2.159 2.125 1.394